(1)
NaSr6Pd | PBE | relaxed

Fermi-level density of states: 0.660 states/eV/atom
VASP energy: -2.25 eV/atom
Offset from the most stable computed form: 0.0000 eV per atom

Lattice parameters (Å, degrees): 14.662 7.378 14.583 90.00 101.96 90.00
Space group C2/c (No. 15)
Asymmetric unit:
Na1 0.000 0.082 0.250
Sr1 0.073 0.418 0.891
Sr2 0.142 0.081 0.533
Sr3 0.215 0.413 0.178
Pd1 0.250 0.250 0.000


(2)
NaSr2Pd2 | PBE | relaxed

Fermi-level density of states: 0.587 states/eV/atom
VASP energy: -3.45 eV/atom
Offset from the most stable computed form: 0.0091 eV per atom

Lattice parameters (Å, degrees): 8.180 8.180 4.238 90.00 90.00 90.00
Space group P4/mbm (No. 127)
Asymmetric unit:
Na1 0.000 0.000 0.000
Sr1 0.167 0.333 0.500
Pd1 0.122 0.622 0.000


(3)
Na3SrPd8 | PBE | relaxed

Fermi-level density of states: 0.847 states/eV/atom
VASP energy: -4.24 eV/atom

Lattice parameters (Å, degrees): 5.4422 5.4422 26.7107 90.00 90.00 120.00
Space group R3m (No. 160, hexagonal axes)
Asymmetric unit:
Na1 0.0000 0.0000 0.0000
Na2 0.0000 0.0000 0.1203
Na3 0.0000 0.0000 0.4905
Sr1 0.0000 0.0000 0.6190
Pd1 0.0000 0.0000 0.3071
Pd2 0.0000 0.0000 0.8069
Pd3 0.9998 0.4999 0.5560
Pd4 0.0006 0.5003 0.0576


(4)
Na2Sr5Pd2 | PBE | relaxed

Fermi-level density of states: 0.608 states/eV/atom
VASP energy: -2.68 eV/atom

Lattice parameters (Å, degrees): 20.034 8.401 8.355 90.00 90.00 90.00
Space group Cmce (No. 64)
Asymmetric unit:
Na1 0.227 0.000 0.000
Sr1 0.000 0.000 0.000
Sr2 0.104 0.170 0.331
Pd1 0.000 0.124 0.624


Q: Which of these has the lowest VASP energy?
A: Na3SrPd8


Q: The lowest VASP energy belongs to which entry?
A: Na3SrPd8